[1]
Computed, not measured: a relaxed structure of Pu2Tl2CuSe6 at the PBE level of DFT.

Summary:
Its formation energy (no corrections) is -0.77 eV/atom. For the energy, the calculation gives -6.077 eV/atom. The calculation puts the total magnetic moment at 6.987 μB/cell. For the volume, the calculation gives 30.341 Å³/atom. The calculated density is 7.1 g/cm3.

abc: 7.122 7.122 8.153
angles: 97.83 97.83 122.67
Fractional coordinates of all 11 atoms:
Pu: 0.165 0.835 0.000
Pu: 0.835 0.165 0.000
Tl: 0.338 0.662 0.500
Tl: 0.662 0.338 0.500
Cu: 0.500 0.500 0.000
Se: 0.086 0.436 0.795
Se: 0.261 0.261 0.177
Se: 0.436 0.086 0.795
Se: 0.564 0.914 0.205
Se: 0.739 0.739 0.823
Se: 0.914 0.564 0.205

[2]
Computed, not measured: a relaxed structure of Pu3Cu2Si7 at the PBE level of DFT.

Summary:
Its formation energy (no corrections) is -0.34 eV/atom. For the energy, the calculation gives -7.770 eV/atom. The calculation puts the total magnetic moment at 15.896 μB/cell. For the volume, the calculation gives 17.122 Å³/atom. The calculated density is 8.5 g/cm3.

abc: 4.096 4.023 12.634
angles: 90.00 99.31 90.00
Fractional coordinates of all 12 atoms:
Pu: 0.000 0.000 0.000
Pu: 0.319 0.500 0.633
Pu: 0.681 0.500 0.367
Cu: 0.152 0.000 0.263
Cu: 0.848 0.000 0.737
Si: 0.003 0.500 0.169
Si: 0.224 0.000 0.450
Si: 0.406 0.000 0.831
Si: 0.500 0.500 0.000
Si: 0.594 0.000 0.169
Si: 0.776 0.000 0.550
Si: 0.997 0.500 0.831

[3]
Computed, not measured: a relaxed structure of Pu2Cu3Si2 at the PBE level of DFT.

Summary:
Its formation energy (no corrections) is -0.05 eV/atom. For the energy, the calculation gives -7.445 eV/atom. The calculation puts the total magnetic moment at 11.198 μB/cell. For the volume, the calculation gives 17.162 Å³/atom. The calculated density is 10.2 g/cm3.

abc: 11.306 11.306 2.826
angles: 90.00 90.00 160.58
Fractional coordinates of all 7 atoms:
Pu: 0.140 0.860 0.000
Pu: 0.860 0.140 0.000
Cu: 0.000 0.000 0.000
Cu: 0.446 0.554 0.500
Cu: 0.554 0.446 0.500
Si: 0.281 0.719 0.500
Si: 0.719 0.281 0.500